# MnFeW (GGA-PBEsol, optimized geometry)
data_MnFeW
_cell_length_a 2.9774
_cell_length_b 2.9774
_cell_length_c 8.4578
_cell_angle_alpha 90.00
_cell_angle_beta 90.00
_cell_angle_gamma 90.00
_symmetry_space_group_name_H-M 'I 4 m m'
_symmetry_Int_Tables_number 107
_symmetry_space_group_name_Hall 'I 4 -2'
loop_
_atom_site_label
_atom_site_type_symbol
_atom_site_fract_x
_atom_site_fract_y
_atom_site_fract_z
Mn1 Mn 0.0000 0.0000 0.0000
Fe1 Fe 0.0000 0.0000 0.3387
W1 W 0.0000 0.0000 0.6696
# - formation energy from the elements (eV per atom) = 0.10
# - D(E_F) (states/eV per atom) = 0.550
# - VASP energy (eV/cell) = -64.44
# - magnetization (μB/f.u.) = 3.3